# HoTl2MoO6 (GGA+U, optimized geometry)
data_HoTl2MoO6
_cell_length_a 6.4930
_cell_length_b 6.4930
_cell_length_c 5.8788
_cell_angle_alpha 90.00
_cell_angle_beta 90.00
_cell_angle_gamma 120.00
_space_group_name_H-M_alt 'P -3 m 1'
_space_group_IT_number 164
_space_group_name_Hall '-P 3 2"'
loop_
_atom_site_label
_atom_site_type_symbol
_atom_site_fract_x
_atom_site_fract_y
_atom_site_fract_z
Ho1 Ho 0.0000 0.0000 0.0000
Tl1 Tl 0.3333 0.6667 0.4589
Mo1 Mo 0.0000 0.0000 0.5000
O1 O 0.1354 0.2707 0.2904
# magnetic moment = 0.00 μB/f.u.
# DFT total energy = -6.1807 eV/atom
# Fermi-level density of states = 0.473 states/eV/atom